BaSiAu2 | GGA-PBE | optimized geometry

Uncorrected formation energy ... -0.20 eV per atom
Density ... 9.46 g/cm3

```
data_BaSiAu2
_symmetry_space_group_name_H-M 'P 4 m m'
_symmetry_Int_Tables_number 99
_cell_length_a 3.699
_cell_length_b 3.699
_cell_length_c 7.177
_cell_angle_alpha 90.00
_cell_angle_beta 90.00
_cell_angle_gamma 90.00
loop_
_symmetry_equiv_pos_as_xyz
'x,y,z'
'-y,x,z'
'-x,-y,z'
'y,-x,z'
'-x,y,z'
'y,x,z'
'x,-y,z'
'-y,-x,z'
loop_
_atom_site_label
_atom_site_fract_x
_atom_site_fract_y
_atom_site_fract_z
Ba1 0.000 0.000 0.000
Si1 0.500 0.500 0.358
Au1 0.000 0.000 0.456
Au2 0.500 0.500 0.710
```

---

Ba2SiAu7 | GGA-PBE | optimized geometry

Uncorrected formation energy ... -0.41 eV per atom
Density ... 11.21 g/cm3

```
data_Ba2SiAu7
_symmetry_space_group_name_H-M 'P -4 m 2'
_symmetry_Int_Tables_number 115
_cell_length_a 4.866
_cell_length_b 4.866
_cell_length_c 10.521
_cell_angle_alpha 90.00
_cell_angle_beta 90.00
_cell_angle_gamma 90.00
loop_
_symmetry_equiv_pos_as_xyz
'x,y,z'
'y,-x,-z'
'-x,-y,z'
'-y,x,-z'
'-x,y,z'
'-y,-x,-z'
'x,-y,z'
'y,x,-z'
loop_
_atom_site_label
_atom_site_fract_x
_atom_site_fract_y
_atom_site_fract_z
Ba1 0.000 0.500 0.242
Si1 0.000 0.000 0.500
Au1 0.000 0.000 0.000
Au2 0.000 0.500 0.602
Au3 0.000 0.500 0.863
Au4 0.500 0.500 0.000
Au5 0.500 0.500 0.500
```

---

Ba2SiAu3 | GGA-PBE | optimized geometry

Uncorrected formation energy ... -0.64 eV per atom
Density ... 8.60 g/cm3

```
data_Ba2SiAu3
_symmetry_space_group_name_H-M 'C 1 2/m 1'
_symmetry_Int_Tables_number 12
_cell_length_a 9.253
_cell_length_b 9.250
_cell_length_c 9.295
_cell_angle_alpha 90.00
_cell_angle_beta 119.78
_cell_angle_gamma 90.00
loop_
_symmetry_equiv_pos_as_xyz
'x,y,z'
'-x,-y,-z'
'-x,y,-z'
'x,-y,z'
'x+1/2,y+1/2,z'
'-x+1/2,-y+1/2,-z'
'-x+1/2,y+1/2,-z'
'x+1/2,-y+1/2,z'
loop_
_atom_site_label
_atom_site_fract_x
_atom_site_fract_y
_atom_site_fract_z
Ba1 0.000 0.236 0.000
Ba2 0.000 0.250 0.500
Si1 0.166 0.500 0.332
Au1 0.143 0.500 0.824
Au2 0.178 0.000 0.356
Au3 0.181 0.000 0.824
```

---

BaSiAu3 | GGA-PBE | optimized geometry

Uncorrected formation energy ... -0.36 eV per atom
Density ... 9.02 g/cm3

```
data_BaSiAu3
_symmetry_space_group_name_H-M 'I -4 m 2'
_symmetry_Int_Tables_number 119
_symmetry_space_group_name_Hall 'I -4 -2'
_cell_length_a 5.993
_cell_length_b 5.993
_cell_length_c 15.513
_cell_angle_alpha 90.00
_cell_angle_beta 90.00
_cell_angle_gamma 90.00
loop_
_atom_site_label
_atom_site_fract_x
_atom_site_fract_y
_atom_site_fract_z
Ba1 0.000 0.000 0.145
Si1 0.000 0.000 0.500
Si2 0.000 0.500 0.250
Au1 0.000 0.225 0.363
Au2 0.000 0.500 0.515
```

---

- What is the density in the third record?
  8.60 g/cm3

---

- What is the uncorrected formation energy in the fourth record?
  -0.36 eV per atom